# PBE Ac3TbTe6, optimized geometry
# ΔE to the lowest computed polymorph	0	meV/atom
# magnetic moment	0.0	μB/cell
# raw formation energy	-1453	kJ/mol of formula units
# volume	39.18	Å³/atom
# raw total energy	-101.74	eV/cell
data_Ac3TbTe6
_chemical_formula_sum 'Ac6 Tb2 Te12'
_space_group_name_H-M_alt 'P 1 21/c 1'
_space_group_IT_number 14
_cell_length_a 7.7585
_cell_length_b 8.6550
_cell_length_c 13.7449
_cell_angle_alpha 90.00
_cell_angle_beta 121.89
_cell_angle_gamma 90.00
loop_
_space_group_symop_operation_xyz
'x,y,z'
'-x,-y,-z'
'-x,y+1/2,-z+1/2'
'x,-y+1/2,z+1/2'
loop_
_atom_site_label
_atom_site_type_symbol
_atom_site_fract_x
_atom_site_fract_y
_atom_site_fract_z
Ac1 Ac 0.0000 0.0000 0.0000
Ac2 Ac 0.3049 0.1111 0.7576
Tb1 Tb 0.5000 0.0000 0.5000
Te1 Te 0.1069 0.0508 0.2627
Te2 Te 0.2535 0.6740 0.0783
Te3 Te 0.4157 0.1864 0.0726